(1)
# Rb2Sc2BiSe6 | Alexandria | GGA-PBE | optimized geometry
data_Rb2Sc2BiSe6
_cell_length_a 6.970
_cell_length_b 6.970
_cell_length_c 8.572
_cell_angle_alpha 97.33
_cell_angle_beta 97.33
_cell_angle_gamma 120.60
_space_group_name_H-M_alt 'P 1'
_space_group_IT_number 1
loop_
_space_group_symop_operation_xyz
'x,y,z'
loop_
_atom_site_label
_atom_site_type_symbol
_atom_site_fract_x
_atom_site_fract_y
_atom_site_fract_z
Rb1 Rb 0.161 0.839 0.000
Rb2 Rb 0.839 0.161 0.000
Sc1 Sc 0.333 0.667 0.500
Sc2 Sc 0.667 0.333 0.500
Bi1 Bi 0.000 0.000 0.500
Se1 Se 0.061 0.414 0.689
Se2 Se 0.296 0.296 0.310
Se3 Se 0.414 0.061 0.689
Se4 Se 0.586 0.939 0.311
Se5 Se 0.704 0.704 0.690
Se6 Se 0.939 0.586 0.311
# - Energy: -4.80 eV/atom
# - Formation energy without anion corrections: -1.220 eV per atom

(2)
# Rb2Sc2BiTe6 | Alexandria | GGA-PBE | optimized geometry
data_Rb2Sc2BiTe6
_cell_length_a 7.424
_cell_length_b 7.424
_cell_length_c 9.219
_cell_angle_alpha 97.22
_cell_angle_beta 97.22
_cell_angle_gamma 120.50
_space_group_name_H-M_alt 'P 1'
_space_group_IT_number 1
loop_
_space_group_symop_operation_xyz
'x,y,z'
loop_
_atom_site_label
_atom_site_type_symbol
_atom_site_fract_x
_atom_site_fract_y
_atom_site_fract_z
Rb1 Rb 0.160 0.840 0.000
Rb2 Rb 0.840 0.160 0.000
Sc1 Sc 0.332 0.668 0.500
Sc2 Sc 0.668 0.332 0.500
Bi1 Bi 0.000 0.000 0.500
Te1 Te 0.063 0.415 0.693
Te2 Te 0.298 0.298 0.306
Te3 Te 0.415 0.063 0.693
Te4 Te 0.585 0.937 0.307
Te5 Te 0.702 0.702 0.694
Te6 Te 0.937 0.585 0.307
# - Energy: -4.32 eV/atom
# - Formation energy without anion corrections: -0.926 eV per atom

(3)
# Rb3ScBi2Te6 | Alexandria | GGA-PBE | optimized geometry
data_Rb3ScBi2Te6
_cell_length_a 7.876
_cell_length_b 7.876
_cell_length_c 8.922
_cell_angle_alpha 98.47
_cell_angle_beta 98.47
_cell_angle_gamma 119.99
_space_group_name_H-M_alt 'P 1'
_space_group_IT_number 1
loop_
_space_group_symop_operation_xyz
'x,y,z'
loop_
_atom_site_label
_atom_site_type_symbol
_atom_site_fract_x
_atom_site_fract_y
_atom_site_fract_z
Rb1 Rb 0.000 0.000 0.000
Rb2 Rb 0.327 0.673 0.000
Rb3 Rb 0.673 0.327 0.000
Sc1 Sc 0.500 0.500 0.500
Bi1 Bi 0.166 0.834 0.500
Bi2 Bi 0.834 0.166 0.500
Te1 Te 0.119 0.435 0.304
Te2 Te 0.250 0.250 0.698
Te3 Te 0.435 0.119 0.304
Te4 Te 0.565 0.881 0.696
Te5 Te 0.750 0.750 0.302
Te6 Te 0.881 0.565 0.696
# - Energy: -3.81 eV/atom
# - Formation energy without anion corrections: -0.822 eV per atom

(4)
# Rb3Sc3BiTe8 | Alexandria | GGA-PBE | optimized geometry
data_Rb3Sc3BiTe8
_cell_length_a 8.612
_cell_length_b 8.612
_cell_length_c 10.042
_cell_angle_alpha 115.68
_cell_angle_beta 115.68
_cell_angle_gamma 59.63
_space_group_name_H-M_alt 'P 1'
_space_group_IT_number 1
loop_
_space_group_symop_operation_xyz
'x,y,z'
loop_
_atom_site_label
_atom_site_type_symbol
_atom_site_fract_x
_atom_site_fract_y
_atom_site_fract_z
Rb1 Rb 0.000 0.000 0.000
Rb2 Rb 0.000 0.500 0.000
Rb3 Rb 0.500 0.000 0.000
Sc1 Sc 0.000 0.500 0.500
Sc2 Sc 0.500 0.000 0.500
Sc3 Sc 0.500 0.500 0.500
Bi1 Bi 0.000 0.000 0.500
Te1 Te 0.243 0.243 0.696
Te2 Te 0.243 0.710 0.696
Te3 Te 0.270 0.270 0.310
Te4 Te 0.290 0.757 0.304
Te5 Te 0.710 0.243 0.696
Te6 Te 0.730 0.730 0.690
Te7 Te 0.757 0.290 0.304
Te8 Te 0.757 0.757 0.304
# - Energy: -4.41 eV/atom
# - Formation energy without anion corrections: -1.013 eV per atom

(5)
# Rb2ScBiTe4 | Alexandria | GGA-PBE | optimized geometry
data_Rb2ScBiTe4
_cell_length_a 7.855
_cell_length_b 4.469
_cell_length_c 8.884
_cell_angle_alpha 90.00
_cell_angle_beta 106.57
_cell_angle_gamma 90.00
_space_group_name_H-M_alt 'P 1'
_space_group_IT_number 1
loop_
_space_group_symop_operation_xyz
'x,y,z'
loop_
_atom_site_label
_atom_site_type_symbol
_atom_site_fract_x
_atom_site_fract_y
_atom_site_fract_z
Rb1 Rb 0.000 0.000 0.000
Rb2 Rb 0.500 0.500 0.000
Sc1 Sc 0.000 0.500 0.500
Bi1 Bi 0.500 0.000 0.500
Te1 Te 0.216 0.000 0.691
Te2 Te 0.250 0.500 0.303
Te3 Te 0.750 0.500 0.697
Te4 Te 0.784 0.000 0.309
# - Energy: -4.01 eV/atom
# - Formation energy without anion corrections: -0.921 eV per atom

(6)
# RbBi3Se5 | Alexandria | GGA-PBE | optimized geometry
data_RbBi3Se5
_cell_length_a 22.479
_cell_length_b 4.208
_cell_length_c 12.546
_cell_angle_alpha 90.00
_cell_angle_beta 90.00
_cell_angle_gamma 90.00
_space_group_name_H-M_alt 'P 1'
_space_group_IT_number 1
loop_
_space_group_symop_operation_xyz
'x,y,z'
loop_
_atom_site_label
_atom_site_type_symbol
_atom_site_fract_x
_atom_site_fract_y
_atom_site_fract_z
Rb1 Rb 0.213 0.250 0.010
Rb2 Rb 0.287 0.750 0.510
Rb3 Rb 0.713 0.250 0.490
Rb4 Rb 0.787 0.750 0.990
Bi1 Bi 0.024 0.250 0.136
Bi2 Bi 0.075 0.750 0.407
Bi3 Bi 0.125 0.250 0.696
Bi4 Bi 0.375 0.750 0.196
Bi5 Bi 0.425 0.250 0.907
Bi6 Bi 0.476 0.750 0.636
Bi7 Bi 0.524 0.250 0.364
Bi8 Bi 0.575 0.750 0.093
Bi9 Bi 0.625 0.250 0.804
Bi10 Bi 0.875 0.750 0.304
Bi11 Bi 0.925 0.250 0.593
Bi12 Bi 0.976 0.750 0.864
Se1 Se 0.020 0.750 0.639
Se2 Se 0.064 0.250 0.916
Se3 Se 0.113 0.750 0.193
Se4 Se 0.157 0.250 0.474
Se5 Se 0.203 0.750 0.751
Se6 Se 0.297 0.250 0.251
Se7 Se 0.343 0.750 0.974
Se8 Se 0.387 0.250 0.693
Se9 Se 0.436 0.750 0.416
Se10 Se 0.480 0.250 0.139
Se11 Se 0.520 0.750 0.861
Se12 Se 0.564 0.250 0.584
Se13 Se 0.613 0.750 0.307
Se14 Se 0.657 0.250 0.026
Se15 Se 0.703 0.750 0.749
Se16 Se 0.797 0.250 0.249
Se17 Se 0.843 0.750 0.526
Se18 Se 0.887 0.250 0.807
Se19 Se 0.936 0.750 0.084
Se20 Se 0.980 0.250 0.361
# - Energy: -3.92 eV/atom
# - Formation energy without anion corrections: -0.584 eV per atom